Entry 1:
Compound: LaNbTc3
Source: Alexandria via LeMat-Bulk
Functional: PBE
Structure: relaxed

Cell lengths 4.830, 4.830, 4.830 Å; angles 90.00, 90.00, 90.00 degrees
Atoms (fractional coordinates):
La1 0.000 0.000 0.000
Nb1 0.500 0.500 0.500
Tc1 0.000 0.500 0.500
Tc2 0.500 0.000 0.500
Tc3 0.500 0.500 0.000

Computed properties:
The total energy is -41.2 eV/f.u. The space group is Pm-3m. The value obtained for the excess energy over the best structure of this formula in the dataset is 0.00 eV per formula unit. Its crystal system is cubic. The calculation puts the formation energy at 4.9 eV per formula unit.

Entry 2:
Compound: TbNd7Er3
Source: Alexandria via LeMat-Bulk
Functional: PBE
Structure: relaxed

Cell lengths 8.570, 8.570, 5.906 Å; angles 110.12, 110.12, 83.44 degrees
Atoms (fractional coordinates):
Tb1 0.000 0.000 0.000
Nd1 0.000 0.000 0.500
Nd2 0.097 0.518 0.808
Nd3 0.292 0.292 0.293
Nd4 0.482 0.903 0.192
Nd5 0.518 0.097 0.808
Nd6 0.708 0.708 0.707
Nd7 0.903 0.482 0.192
Er1 0.296 0.704 0.500
Er2 0.500 0.500 0.000
Er3 0.704 0.296 0.500

Computed properties:
The total energy is -49.2 eV/f.u. The space group is C2/m. The value obtained for the excess energy over the best structure of this formula in the dataset is 1.43 eV per formula unit. Its crystal system is monoclinic. The calculation puts the formation energy at 2.5 eV per formula unit.

Entry 3:
Compound: Ba12PbAu6
Source: Alexandria via LeMat-Bulk
Functional: PBE
Structure: relaxed

Cell lengths 10.122, 10.122, 10.122 Å; angles 109.47, 109.47, 109.47 degrees
Atoms (fractional coordinates):
Ba1 0.124 0.302 0.822
Ba2 0.178 0.480 0.302
Ba3 0.178 0.876 0.698
Ba4 0.302 0.178 0.480
Ba5 0.302 0.822 0.124
Ba6 0.480 0.302 0.178
Ba7 0.520 0.698 0.822
Ba8 0.698 0.178 0.876
Ba9 0.698 0.822 0.520
Ba10 0.822 0.124 0.302
Ba11 0.822 0.520 0.698
Ba12 0.876 0.698 0.178
Pb1 0.000 0.000 0.000
Au1 0.126 0.500 0.626
Au2 0.374 0.874 0.500
Au3 0.500 0.374 0.874
Au4 0.500 0.626 0.126
Au5 0.626 0.126 0.500
Au6 0.874 0.500 0.374

Computed properties:
The total energy is -56.4 eV/f.u. The space group is Im-3. Its crystal system is cubic. The calculation puts the formation energy at -10.0 eV per formula unit.

Entry 4:
Compound: Ni2IrOs
Source: Alexandria via LeMat-Bulk
Functional: PBE
Structure: relaxed

Cell lengths 5.336, 5.336, 5.336 Å; angles 103.07, 103.07, 123.22 degrees
Atoms (fractional coordinates):
Ni1 0.115 0.125 0.490
Ni2 0.375 0.885 0.010
Ni3 0.635 0.625 0.510
Ni4 0.875 0.365 0.990
Ir1 0.250 0.750 0.500
Ir2 0.500 0.500 0.000
Os1 0.000 0.000 0.000
Os2 0.750 0.250 0.500

Computed properties:
The total energy is -28.6 eV/f.u. The space group is I-42d. The value obtained for the excess energy over the best structure of this formula in the dataset is 2.95 eV per formula unit. Its crystal system is tetragonal. The calculation puts the formation energy at 3.0 eV per formula unit.